Density functional theory data (PBE-GGA) for crystalline AcSm3Ho5 at its relaxed geometry.

Output
* Fermi-level density of states: 1.45 states/eV/atom
* E_form: 0.51 eV per atom
* electronic total energy: -73.103 eV for the cell shown
* crystal system: monoclinic

Cell: 9.5968 9.5968 11.8617 Å, 52.40 52.40 72.57°
Atoms (fractional coordinates):
Ac  0.1636  0.1636  0.5891
Ac  0.8364  0.8364  0.4109
Sm  0.6935  0.6935  0.8166
Sm  0.6553  0.6553  0.3588
Sm  0.0000  0.0000  0.0000
Sm  0.0000  0.0000  0.5000
Sm  0.3065  0.3065  0.1834
Sm  0.3447  0.3447  0.6412
Ho  0.8591  0.3591  0.2415
Ho  0.2593  0.7407  0.0000
Ho  0.8184  0.8184  0.9582
Ho  0.5018  0.5018  0.2211
Ho  0.4982  0.4982  0.7789
Ho  0.1816  0.1816  0.0418
Ho  0.3591  0.8591  0.2415
Ho  0.7407  0.2593  0.0000
Ho  0.1409  0.6409  0.7585
Ho  0.6409  0.1409  0.7585